First-principles (PBE-GGA) data for an optimized crystal structure of TiSb2Te2, as listed in Alexandria.

Cell and atoms, written as POSCAR:
```
TiSb2Te2
1.0
7.260 0.000 0.000
0.000 7.260 0.000
0.000 0.000 5.254
Sb Te Ti
4 4 2
Cartesian
1.126 4.756 2.627 Sb
4.756 6.134 2.627 Sb
6.134 2.504 2.627 Sb
2.504 1.126 2.627 Sb
2.428 6.059 0.000 Te
4.832 1.202 0.000 Te
1.202 2.428 0.000 Te
6.059 4.832 0.000 Te
0.000 0.000 0.000 Ti
3.630 3.630 0.000 Ti
```

Output
The electronic total energy is -43.5 eV for the cell shown. As for the energy above the most stable polymorph in this dataset: 0 meV per atom. The formation energy from raw total energies comes out at 0.136 eV/atom. The density comes out at 6.55 Mg/m³. The density of states at the Fermi level is 3.80 states/eV/cell. The size of the total moment comes out at 0.000 Bohr magnetons per cell.